Material: LiSmGdFe
Method: DFT, PBE
State: optimized geometry

energy of formation	0.119	eV/atom

```
data_LiSmGdFe
_cell_length_a 7.0058
_cell_length_b 7.0058
_cell_length_c 7.0058
_cell_angle_alpha 90.00
_cell_angle_beta 90.00
_cell_angle_gamma 90.00
_symmetry_space_group_name_H-M 'F -4 3 m'
_symmetry_Int_Tables_number 216
_symmetry_space_group_name_Hall 'F -4 2 3'
loop_
_atom_site_label
_atom_site_type_symbol
_atom_site_fract_x
_atom_site_fract_y
_atom_site_fract_z
_atom_site_occupancy
Li1 Li 0.0000 0.0000 0.0000 1
Sm1 Sm 0.2500 0.2500 0.7500 1
Gd1 Gd 0.2500 0.2500 0.2500 1
Fe1 Fe 0.0000 0.0000 0.5000 1
```

---

Material: TlCoSe4
Method: DFT, PBE
State: optimized geometry

energy relative to the lowest polymorph listed for this composition	0.000	eV/atom

```
data_TlCoSe4
_cell_length_a 8.9344
_cell_length_b 12.0665
_cell_length_c 6.7525
_cell_angle_alpha 90.00
_cell_angle_beta 118.84
_cell_angle_gamma 90.00
_symmetry_space_group_name_H-M 'C 1 2/c 1'
_symmetry_Int_Tables_number 15
_symmetry_space_group_name_Hall '-C 2yc'
loop_
_atom_site_label
_atom_site_type_symbol
_atom_site_fract_x
_atom_site_fract_y
_atom_site_fract_z
_atom_site_occupancy
Tl1 Tl 0.0000 0.0933 0.2500 1
Co1 Co 0.0000 0.4500 0.2500 1
Se1 Se 0.1135 0.3055 0.5424 1
Se2 Se 0.1364 0.4122 0.0285 1
```

---

Material: InTcAgO5
Method: DFT, PBE
State: optimized geometry

total DFT energy (no corrections)	-49.22	eV/f.u.

```
data_InTcAgO5
_cell_length_a 6.8124
_cell_length_b 10.2513
_cell_length_c 7.5764
_cell_angle_alpha 90.00
_cell_angle_beta 110.95
_cell_angle_gamma 90.00
_symmetry_space_group_name_H-M 'C 1 2/c 1'
_symmetry_Int_Tables_number 15
_symmetry_space_group_name_Hall '-C 2yc'
loop_
_atom_site_label
_atom_site_type_symbol
_atom_site_fract_x
_atom_site_fract_y
_atom_site_fract_z
_atom_site_occupancy
In1 In 0.0000 0.0000 0.0000 1
Tc1 Tc 0.0000 0.3064 0.2500 1
Ag1 Ag 0.0000 0.3007 0.7500 1
O1 O 0.0000 0.0755 0.7500 1
O2 O 0.1355 0.1965 0.1448 1
O3 O 0.1676 0.4071 0.4332 1
```